Compound: VCdTe2
Source: Alexandria via LeMat-Bulk
Functional: PBE
Structure: relaxed

Values from the calculation:
DOS(E_F) ... 6.277 states/eV/cell
Formation energy from raw total energies ... -130 meV/atom
Total moment ... 0.750 μB/atom

Cell: 6.4367 6.4367 7.8752 Å, 65.88 65.88 90.00°
Positions (direct):
Te1 0.8750 0.8513 0.7500
Te2 0.3750 0.3987 0.7500
Te3 0.6013 0.1250 0.2500
Te4 0.1487 0.6250 0.2500
V1 0.5000 0.5000 0.0000
V2 0.2500 0.7500 0.5000
Cd1 0.0000 0.0000 0.0000
Cd2 0.7500 0.2500 0.5000

Compound: RbINO2
Source: Alexandria via LeMat-Bulk
Functional: PBE
Structure: relaxed

Values from the calculation:
DOS(E_F) ... 2.329 states/eV/cell
Formation energy from raw total energies ... 198 meV/atom
Total moment ... 0.000 μB/atom

Cell: 4.2972 4.2972 4.1033 Å, 90.00 90.00 90.00°
Positions (direct):
N1 0.0000 0.0000 0.5000
O1 0.0000 0.5000 0.0000
O2 0.5000 0.0000 0.0000
Rb1 0.5000 0.5000 0.5000
I1 0.0000 0.0000 0.0000

Compound: PrNd6Y5
Source: Alexandria via LeMat-Bulk
Functional: PBE
Structure: relaxed

Values from the calculation:
DOS(E_F) ... 17.440 states/eV/cell
DFT formation energy ... 14 meV per atom
Total moment ... 0.000 μB/atom

Cell: 11.4441 5.1590 8.1683 Å, 71.61 81.80 63.20°
Positions (direct):
Y1 0.0000 0.6678 0.6646
Y2 0.5000 0.8335 0.3328
Y3 0.5000 0.1665 0.6672
Y4 0.0000 0.3322 0.3354
Y5 0.5000 0.5000 0.0000
Nd1 0.2513 0.5815 0.3338
Nd2 0.2513 0.9153 0.6662
Nd3 0.7487 0.4185 0.6662
Nd4 0.2515 0.2484 0.0000
Nd5 0.7487 0.0847 0.3338
Nd6 0.7485 0.7516 0.0000
Pr1 0.0000 0.0000 0.0000

Compound: LaDyCd2Hg4
Source: Alexandria via LeMat-Bulk
Functional: PBE
Structure: relaxed

Values from the calculation:
DOS(E_F) ... 2.831 states/eV/cell
DFT formation energy ... -412 meV per atom
Total moment ... 0.000 μB/atom

Cell: 5.1714 5.1714 8.9966 Å, 73.30 73.30 60.00°
Positions (direct):
Cd1 0.2506 0.2506 0.2483
Cd2 0.7494 0.7494 0.7517
Hg1 0.6208 0.6208 0.1375
Hg2 0.3792 0.3792 0.8625
Hg3 0.1288 0.1288 0.6137
Hg4 0.8712 0.8712 0.3863
La1 0.0000 0.0000 0.0000
Dy1 0.5000 0.5000 0.5000

Compound: ZrGaAgPd
Source: Alexandria via LeMat-Bulk
Functional: PBE
Structure: relaxed

Values from the calculation:
DOS(E_F) ... 1.665 states/eV/cell
DFT formation energy ... -426 meV per atom
Total moment ... 0.000 μB/atom

Cell: 4.6289 4.6289 4.6289 Å, 60.00 60.00 60.00°
Positions (direct):
Zr1 0.5000 0.5000 0.5000
Ga1 0.0000 0.0000 0.0000
Ag1 0.2500 0.2500 0.2500
Pd1 0.7500 0.7500 0.7500

Compound: Ca2HoPd
Source: Alexandria via LeMat-Bulk
Functional: PBE
Structure: relaxed

Values from the calculation:
DOS(E_F) ... 4.394 states/eV/cell
DFT formation energy ... 182 meV per atom
Total moment ... 0.000 μB/atom

Cell: 3.5013 3.5013 11.5749 Å, 81.30 81.30 60.00°
Positions (direct):
Ca1 0.9232 0.9232 0.2305
Ca2 0.0768 0.0768 0.7695
Ho1 0.5000 0.5000 0.5000
Pd1 0.0000 0.0000 0.0000

Compound: NaBi2Au2
Source: Alexandria via LeMat-Bulk
Functional: PBE
Structure: relaxed

Values from the calculation:
DOS(E_F) ... 4.205 states/eV/cell
DFT formation energy ... -148 meV per atom
Total moment ... 0.000 μB/atom

Cell: 7.8402 7.8402 4.0821 Å, 90.00 90.00 90.00°
Positions (direct):
Au1 0.1296 0.3704 0.0000
Au2 0.6296 0.1296 0.0000
Au3 0.3704 0.8704 0.0000
Au4 0.8704 0.6296 0.0000
Na1 0.0000 0.0000 0.0000
Na2 0.5000 0.5000 0.0000
Bi1 0.8243 0.3243 0.5000
Bi2 0.3243 0.1757 0.5000
Bi3 0.1757 0.6757 0.5000
Bi4 0.6757 0.8243 0.5000

Compound: Tb2DyAs3
Source: Alexandria via LeMat-Bulk
Functional: PBE
Structure: relaxed

Values from the calculation:
DOS(E_F) ... 0.887 states/eV/cell
DFT formation energy ... -1540 meV per atom
Total moment ... 0.000 μB/atom

Cell: 4.1355 5.8408 7.1553 Å, 114.09 106.80 90.00°
Positions (direct):
Tb1 0.3332 0.8332 0.6664
Tb2 0.6668 0.1668 0.3336
As1 0.3340 0.3340 0.6680
As2 0.0000 0.0000 0.0000
As3 0.6660 0.6660 0.3320
Dy1 0.0000 0.5000 0.0000

Which of these has the lowest DOS(E_F)?
Tb2DyAs3